# 1
DFT (PBE) results for crystalline Pr2TmHf at its relaxed geometry.

abc: 12.4067 12.4067 12.4067
angles: 15.69 15.69 15.69
Last column: nearest neighbours and their distance in Å.
Fractional coordinates of all 4 atoms:
Pr1 0.0854 0.0854 0.0854  1 Hf 3.14, 6 Pr 3.39
Pr2 0.9146 0.9146 0.9146  1 Hf 3.14, 6 Pr 3.39
Tm1 0.5000 0.5000 0.5000  6 Tm 3.39, 6 Pr 3.57
Hf1 0.0000 0.0000 0.0000  2 Pr 3.14, 6 Hf 3.39

Properties
Space-group type: R-3m (166)
Calculated total energy in eV/cell: -22.451
Excess energy over the best structure of this formula in the dataset in meV/atom: 201
ΔH_f (0 K) in eV per atom: 0.383


# 2
DFT (PBE) results for crystalline HfPaZn at its relaxed geometry.

abc: 7.1000 7.1000 7.1000
angles: 155.12 155.12 35.47
Last column: nearest neighbours and their distance in Å.
Fractional coordinates of all 3 atoms:
Hf1 0.0000 0.0000 0.0000  4 Zn 2.95, 4 Hf 3.06, 4 Pa 3.26
Pa1 0.6805 0.6805 0.0000  4 Pa 3.06, 4 Zn 3.16, 4 Hf 3.26
Zn1 0.3513 0.3513 0.0000  4 Hf 2.95, 4 Zn 3.06, 4 Pa 3.16

Properties
Space-group type: I4mm (107)
Calculated total energy in eV/cell: -20.831
Excess energy over the best structure of this formula in the dataset in meV/atom: 0
ΔH_f (0 K) in eV per atom: -0.036


# 3
DFT (PBE) results for crystalline VRhW at its relaxed geometry.

abc: 4.4323 4.4323 2.6419
angles: 90.00 90.00 120.00
Last column: nearest neighbours and their distance in Å.
Fractional coordinates of all 3 atoms:
V1 0.0000 0.0000 0.0000  2 V 2.64, 3 W 2.79, 6 Rh 2.88
Rh1 0.3333 0.6667 0.4967  3 W 2.57, 2 Rh 2.64, 3 V 2.88
W1 0.6667 0.3333 0.4161  3 Rh 2.57, 2 W 2.64, 3 V 2.79

Properties
Space-group type: P3m1 (156)
Calculated total energy in eV/cell: -29.131
Excess energy over the best structure of this formula in the dataset in meV/atom: 90
ΔH_f (0 K) in eV per atom: 0.097